DFT (PBE-GGA) results for an optimized crystal structure of Pr2Nd4Sc3.

Results
symmetry: No. 12
E_form: 0.05 eV/atom
magnetic moment: 0.0 μB/cell
final energy: -5.237 eV per atom

The structure in CIF format:
```
data_Pr2Nd4Sc3
_chemical_formula_sum 'Pr2 Nd4 Sc3'
_cell_length_a 5.0324
_cell_length_b 6.1546
_cell_length_c 10.6014
_cell_angle_alpha 73.08
_cell_angle_beta 89.99
_cell_angle_gamma 65.87
_symmetry_space_group_name_H-M 'P 1'
_symmetry_Int_Tables_number 1
loop_
_symmetry_equiv_pos_as_xyz
'x,y,z'
loop_
_atom_site_label
_atom_site_fract_x
_atom_site_fract_y
_atom_site_fract_z
Pr1 0.3311 0.3376 0.7717
Pr2 0.6689 0.6624 0.2283
Nd1 0.6659 0.6685 0.8870
Nd2 0.0056 0.9888 0.3380
Nd3 0.9944 0.0112 0.6620
Nd4 0.3341 0.3315 0.1130
Sc1 0.3363 0.3271 0.4488
Sc2 0.0000 0.0000 0.0000
Sc3 0.6637 0.6729 0.5512
```


DFT (PBE-GGA) results for an optimized crystal structure of AcAsPt.

Results
distance to the lowest polymorph of the same formula: 1.4 meV/atom
symmetry: No. 156
E_form: -1.27 eV/atom
magnetic moment: 0.0 μB/cell
final energy: -6.207 eV per atom

The structure in CIF format:
```
data_AcAsPt
_chemical_formula_sum 'Ac1 As1 Pt1'
_cell_length_a 4.2649
_cell_length_b 4.4586
_cell_length_c 4.4586
_cell_angle_alpha 120.00
_cell_angle_beta 90.00
_cell_angle_gamma 90.00
_symmetry_space_group_name_H-M 'P 1'
_symmetry_Int_Tables_number 1
loop_
_symmetry_equiv_pos_as_xyz
'x,y,z'
loop_
_atom_site_label
_atom_site_fract_x
_atom_site_fract_y
_atom_site_fract_z
Ac1 0.6662 0.6667 0.3333
As1 0.1630 0.0000 0.0000
Pt1 0.1708 0.3333 0.6667
```


DFT (PBE-GGA) results for an optimized crystal structure of Zr2Nb2Co.

Results
distance to the lowest polymorph of the same formula: 117.0 meV/atom
symmetry: No. 127
E_form: 0.19 eV/atom
magnetic moment: 0.0 μB/cell
final energy: -8.679 eV per atom

The structure in CIF format:
```
data_Zr2Nb2Co
_chemical_formula_sum 'Zr4 Nb4 Co2'
_cell_length_a 6.5146
_cell_length_b 6.5146
_cell_length_c 4.5780
_cell_angle_alpha 90.00
_cell_angle_beta 90.00
_cell_angle_gamma 90.00
_symmetry_space_group_name_H-M 'P 1'
_symmetry_Int_Tables_number 1
loop_
_symmetry_equiv_pos_as_xyz
'x,y,z'
loop_
_atom_site_label
_atom_site_fract_x
_atom_site_fract_y
_atom_site_fract_z
Nb1 0.3494 0.8494 0.0000
Nb2 0.8494 0.6506 0.0000
Nb3 0.6506 0.1506 0.0000
Nb4 0.1506 0.3494 0.0000
Co1 0.0000 0.0000 0.0000
Co2 0.5000 0.5000 0.0000
Zr1 0.1669 0.6669 0.5000
Zr2 0.6669 0.8331 0.5000
Zr3 0.8331 0.3331 0.5000
Zr4 0.3331 0.1669 0.5000
```


DFT (PBE-GGA) results for an optimized crystal structure of InSbSe.

Results
symmetry: No. 8
uncorrected formation energy: -0.24 eV per atom
magnetic moment: 0.0 μB/cell
final energy: -3.685 eV per atom

The structure in CIF format:
```
data_InSbSe
_chemical_formula_sum 'In4 Sb4 Se4'
_cell_length_a 6.9776
_cell_length_b 4.2170
_cell_length_c 13.9683
_cell_angle_alpha 90.00
_cell_angle_beta 107.77
_cell_angle_gamma 90.00
_symmetry_space_group_name_H-M 'P 1'
_symmetry_Int_Tables_number 1
loop_
_symmetry_equiv_pos_as_xyz
'x,y,z'
loop_
_atom_site_label
_atom_site_fract_x
_atom_site_fract_y
_atom_site_fract_z
In1 0.1800 0.0000 0.4371
In2 0.1800 0.5000 0.9371
In3 0.7819 0.0000 0.0155
In4 0.7819 0.5000 0.5155
Sb1 0.2061 0.0000 0.6467
Sb2 0.2061 0.5000 0.1467
Sb3 0.5084 0.0000 0.1974
Sb4 0.5084 0.5000 0.6974
Se1 0.9599 0.0000 0.8498
Se2 0.9599 0.5000 0.3498
Se3 0.5286 0.0000 0.3946
Se4 0.5286 0.5000 0.8946
```